{
  "formula": "TeP",
  "functional": "PBE",
  "state": "optimized geometry",
  "cell": [[-3.5505, 1.1441, 1.7219], [-1.4370, -0.1148, -2.8868], [-1.3736, -8.1739, 1.0089]],
  "species": ["Te", "Te", "P", "P"],
  "frac_coords": [[0.7211, 0.7500, 0.8224], [0.2789, 0.2500, 0.1776], [0.6866, 0.7500, 0.5194], [0.3134, 0.2500, 0.4806]],
  "e_form_raw_kj_per_mol_fu": 25,
  "rho_g_cm3": 4.773,
  "space_group": "P2_1/m, No. 11"
}

=====

{
  "formula": "TlPPbS4",
  "functional": "PBE",
  "state": "optimized geometry",
  "cell": [[-4.4117, 3.5229, -3.4950], [-6.6076, -3.9256, 4.3838], [0.3725, 9.1707, 8.7736]],
  "species": ["Pb", "Pb", "Pb", "Pb", "P", "P", "P", "P", "S", "S", "S", "S", "S", "S", "S", "S", "S", "S", "S", "S", "S", "S", "S", "S", "Tl", "Tl", "Tl", "Tl"],
  "frac_coords": [[0.2500, 0.6049, 0.1279], [0.7500, 0.1049, 0.3721], [0.7500, 0.3951, 0.8721], [0.2500, 0.8951, 0.6279], [0.2500, 0.6301, 0.8500], [0.7500, 0.3699, 0.1500], [0.2500, 0.8699, 0.3500], [0.7500, 0.1301, 0.6500], [0.0035, 0.6401, 0.7526], [0.9965, 0.1401, 0.7474], [0.0035, 0.8599, 0.2526], [0.2500, 0.6898, 0.4522], [0.9965, 0.3599, 0.2474], [0.7500, 0.1898, 0.0478], [0.2500, 0.8102, 0.9522], [0.7500, 0.5716, 0.0683], [0.5035, 0.1401, 0.7474], [0.2500, 0.4284, 0.9317], [0.7500, 0.3102, 0.5478], [0.4965, 0.6401, 0.7526], [0.4965, 0.8599, 0.2526], [0.7500, 0.9284, 0.5683], [0.2500, 0.0716, 0.4317], [0.5035, 0.3599, 0.2474], [0.7500, 0.8776, 0.8882], [0.7500, 0.6224, 0.3882], [0.2500, 0.1224, 0.1118], [0.2500, 0.3776, 0.6118]],
  "e_form_raw_kj_per_mol_fu": -300,
  "rho_g_cm3": 5.083,
  "de_polymorph_mev_per_atom": 2,
  "space_group": "Pnma, No. 62"
}

=====

{
  "formula": "NpSn2Au",
  "functional": "PBE",
  "state": "optimized geometry",
  "cell": [[-1.7043, 3.9246, 0.4572], [-2.0613, -0.4086, -4.1758], [-3.7652, -1.8730, 2.0418]],
  "species": ["Au", "Np", "Sn", "Sn"],
  "frac_coords": [[0.5000, 0.0000, 0.0000], [0.5000, 0.5000, 0.5000], [0.0000, 0.5000, 0.0000], [0.0000, 0.0000, 0.5000]],
  "rho_g_cm3": 11.856,
  "de_polymorph_mev_per_atom": 0,
  "space_group": "P4/mmm, No. 123",
  "ef_mev_per_atom": -153
}